[1]
HgSbPtI2, relaxed, DFT PBE; energy = -2.55 eV per atom; DOS at the Fermi energy = 2.33 states/eV/f.u.; energy above the lowest structure with this stoichiometry = 0 kJ/mol of formula units; crystal system = tetragonal; total magnetic moment = 0.00 μB/cell; formation energy from raw total energies = 0.16 eV/atom
1.0
5.7517 0.0000 0.0000
0.0000 5.7517 0.0000
0.0000 0.0000 5.1069
Hg Sb Pt I
1 1 1 2
Cartesian
0.0000 0.0000 0.0000
2.8759 2.8759 0.0000
2.8759 2.8759 2.5535
0.0000 2.8759 2.5535
2.8759 0.0000 2.5535



[2]
Sr6HgPt2I3, relaxed, DFT PBE; energy = -3.29 eV per atom; DOS at the Fermi energy = 6.38 states/eV/f.u.; crystal system = monoclinic; total magnetic moment = 0.16 μB/cell; formation energy from raw total energies = -1.03 eV/atom
1.0
3.9134 -6.7742 0.0000
3.9134 6.7742 0.0000
-2.6100 0.0000 8.3511
Sr Hg Pt I
6 1 2 3
Cartesian
-0.0925 2.4142 6.6698
1.1236 0.0000 1.6707
-0.0925 -2.4142 6.6698
5.3093 2.4142 1.6813
4.0931 0.0000 6.6804
5.3093 -2.4142 1.6813
3.9134 0.0000 0.0000
3.9134 4.5128 0.0000
3.9134 -4.5128 0.0000
-1.3050 0.0000 4.1755
2.6084 2.2234 4.1755
2.6084 -2.2234 4.1755



[3]
SrHg2PtI, relaxed, DFT PBE; energy = -2.61 eV per atom; DOS at the Fermi energy = 3.14 states/eV/f.u.; crystal system = tetragonal; total magnetic moment = 0.00 μB/cell; formation energy from raw total energies = -0.63 eV/atom
1.0
5.3127 0.0000 0.0000
0.0000 5.3127 0.0000
0.0000 0.0000 5.8940
Sr Hg Pt I
1 2 1 1
Cartesian
0.0000 0.0000 0.0000
0.0000 2.6564 2.9470
2.6564 0.0000 2.9470
0.0000 0.0000 2.9470
2.6564 2.6564 0.0000



Copy entry 1 word for word.
HgSbPtI2, relaxed, DFT PBE; energy = -2.55 eV per atom; DOS at the Fermi energy = 2.33 states/eV/f.u.; energy above the lowest structure with this stoichiometry = 0 kJ/mol of formula units; crystal system = tetragonal; total magnetic moment = 0.00 μB/cell; formation energy from raw total energies = 0.16 eV/atom
1.0
5.7517 0.0000 0.0000
0.0000 5.7517 0.0000
0.0000 0.0000 5.1069
Hg Sb Pt I
1 1 1 2
Cartesian
0.0000 0.0000 0.0000
2.8759 2.8759 0.0000
2.8759 2.8759 2.5535
0.0000 2.8759 2.5535
2.8759 0.0000 2.5535